First-principles (GGA-PBE) data for an optimized crystal structure of Y2InSi3Pt4, as listed in Alexandria via LeMat-Bulk.

```
Y2InSi3Pt4
1.0
4.234 0.000 0.000
0.000 4.234 0.000
0.000 0.000 10.343
In Si Pt Y
1 3 4 2
direct
0.500 0.500 0.500 In
0.500 0.000 0.877 Si
0.000 0.000 0.500 Si
0.000 0.500 0.123 Si
0.500 0.500 0.000 Pt
0.500 0.000 0.651 Pt
0.000 0.500 0.349 Pt
0.000 0.000 0.000 Pt
0.500 0.000 0.242 Y
0.000 0.500 0.758 Y
```

## Properties
**Uncorrected formation energy**: -0.98 eV per atom
**Density**: 10.36 g/cm³

=====

First-principles (GGA-PBE) data for an optimized crystal structure of Li2Mg7Ag2, as listed in Alexandria via LeMat-Bulk.

```
Li2Mg7Ag2
1.0
-0.410 4.671 -0.553
-7.070 1.676 -1.080
-1.692 3.042 6.470
Li Mg Ag
2 7 2
direct
0.344 0.155 0.155 Li
0.656 0.845 0.845 Li
0.846 0.881 0.428 Mg
0.351 0.652 0.652 Mg
0.000 0.000 0.000 Mg
0.154 0.119 0.572 Mg
0.846 0.428 0.881 Mg
0.649 0.348 0.348 Mg
0.154 0.572 0.119 Mg
0.500 0.236 0.764 Ag
0.500 0.764 0.236 Ag
```

## Properties
**Density**: 2.93 g/cm³
**Energy of formation**: -84 meV per atom

=====

First-principles (GGA-PBE) data for an optimized crystal structure of SrLa4Si, as listed in Alexandria via LeMat-Bulk.

```
SrLa4Si
1.0
-1.725 -4.928 4.125
-4.076 1.218 5.117
-6.218 -2.368 -0.063
La Si Sr
4 1 1
direct
0.378 0.865 0.378 La
0.865 0.378 0.378 La
0.378 0.378 0.865 La
0.378 0.378 0.378 La
0.750 0.750 0.750 Si
0.000 0.000 0.000 Sr
```

## Properties
**Uncorrected formation energy**: 0.36 eV per atom
**Density**: 5.35 g/cm³

=====

First-principles (GGA-PBE) data for an optimized crystal structure of Mg2TaAg, as listed in Alexandria via LeMat-Bulk.

```
Mg2TaAg
1.0
-1.818 -4.744 0.262
3.955 -3.045 -0.978
-0.398 3.803 3.355
Mg Ag Ta
2 1 1
direct
0.500 0.500 0.000 Mg
0.000 0.000 0.000 Mg
0.750 0.250 0.500 Ag
0.250 0.750 0.500 Ta
```

## Properties
**Density**: 7.32 g/cm³
**Energy of formation**: 476 meV per atom

=====

First-principles (GGA-PBE) data for an optimized crystal structure of DyGa4Au2, as listed in Alexandria via LeMat-Bulk.

```
DyGa4Au2
1.0
4.129 0.000 0.000
0.000 8.184 0.000
0.000 0.000 8.184
Dy Ga Au
2 8 4
direct
0.500 0.000 0.000 Dy
0.000 0.500 0.500 Dy
0.000 0.088 0.335 Ga
0.000 0.665 0.912 Ga
0.500 0.835 0.412 Ga
0.500 0.412 0.835 Ga
0.000 0.335 0.088 Ga
0.500 0.588 0.165 Ga
0.500 0.165 0.588 Ga
0.000 0.912 0.665 Ga
0.000 0.802 0.198 Au
0.500 0.698 0.698 Au
0.500 0.302 0.302 Au
0.000 0.198 0.802 Au
```

## Properties
**Density**: 10.03 g/cm³
**Energy of formation**: -379 meV per atom

=====

First-principles (GGA-PBE) data for an optimized crystal structure of Ba2SrFeGe, as listed in Alexandria via LeMat-Bulk.

```
Ba2SrFeGe
1.0
-1.164 -5.283 1.477
3.034 0.376 3.736
-4.204 1.829 3.229
Ba Fe Sr Ge
2 1 1 1
direct
0.000 0.000 0.500 Ba
0.500 0.000 0.000 Ba
0.000 0.000 0.000 Fe
0.500 0.500 0.500 Sr
0.000 0.500 0.000 Ge
```

## Properties
**Density**: 5.37 g/cm³
**Energy of formation**: 269 meV per atom

=====

First-principles (GGA-PBE) data for an optimized crystal structure of FeMo2WBr, as listed in Alexandria via LeMat-Bulk.

```
FeMo2WBr
1.0
-3.070 -3.137 -1.207
0.115 -1.723 4.186
-3.359 2.807 1.247
W Fe Mo Br
1 1 2 1
direct
0.000 0.500 0.000 W
0.000 0.000 0.000 Fe
0.500 0.000 0.000 Mo
0.000 0.000 0.500 Mo
0.500 0.500 0.500 Br
```

## Properties
**Uncorrected formation energy**: 1.57 eV per atom
**Density**: 9.05 g/cm³

=====

First-principles (GGA-PBE) data for an optimized crystal structure of ZnReNi6, as listed in Alexandria via LeMat-Bulk.

```
ZnReNi6
1.0
-0.521 2.737 -2.278
-0.754 -2.335 -2.633
-6.932 0.192 1.815
Ni Re Zn
6 1 1
direct
0.000 0.500 0.253 Ni
0.500 0.000 0.747 Ni
0.500 0.500 0.500 Ni
0.500 0.500 0.000 Ni
0.000 0.500 0.747 Ni
0.500 0.000 0.253 Ni
0.000 0.000 0.500 Re
0.000 0.000 0.000 Zn
```

## Properties
**Density**: 10.80 g/cm³
**Energy of formation**: -74 meV per atom